(1)
Computed, not measured: Ce2NdWN4 after structural relaxation at the PBE level of DFT.

Cell lengths 3.482, 6.260, 11.919 Å; angles 90.00, 90.00, 106.15 degrees
Element x y z (fractional)
Ce  0.633  0.266  0.458
Ce  0.367  0.734  0.542
Ce  0.367  0.734  0.958
Ce  0.633  0.266  0.042
Nd  0.880  0.760  0.250
Nd  0.120  0.240  0.750
N  0.266  0.531  0.131
N  0.266  0.531  0.369
N  0.000  0.000  0.500
N  0.000  0.000  0.000
N  0.734  0.469  0.631
N  0.445  0.890  0.750
N  0.734  0.469  0.869
N  0.555  0.110  0.250
W  0.855  0.711  0.750
W  0.145  0.289  0.250

Properties
space group	Cmcm (63)

---

(2)
Computed, not measured: Ce3Nd2YN6 after structural relaxation at the PBE level of DFT.

Cell lengths 6.204, 6.204, 6.188 Å; angles 99.62, 99.62, 119.99 degrees
Element x y z (fractional)
N  0.411  0.087  0.260
N  0.913  0.589  0.740
N  0.237  0.237  0.739
N  0.087  0.411  0.260
N  0.589  0.913  0.740
N  0.763  0.763  0.261
Ce  0.166  0.834  0.500
Ce  0.500  0.500  0.500
Ce  0.834  0.166  0.500
Nd  0.333  0.667  0.000
Nd  0.667  0.333  0.000
Y  0.000  0.000  0.000

Properties
space group	C2/m (12)

---

Listing DFT total energy for the structures above in their given order: -8.904 -8.474 eV/atom.
Listing theoretical density for the structures above in their given order: 8.84 7.53 g/cm3.
Listing ΔE_f (raw) for the structures above in their given order: -1.042 -1.495 eV/atom.